# 1
A relaxed structure of US6F. Source: the Alexandria database, functional PBE. Values from VASP.

## Properties
The calculation puts the total energy at -44.30 eV per formula unit. The symmetry is No. 2.

Geometry as Quantum ESPRESSO input:
```
&SYSTEM
  ibrav = 0, nat = 8, ntyp = 3
/
ATOMIC_SPECIES
F 19.00 F.upf
S 32.06 S.upf
U 238.03 U.upf
CELL_PARAMETERS angstrom
-0.7489 3.7379 2.6219
-3.8336 1.6664 -3.2419
-3.4901 -3.4416 5.4034
ATOMIC_POSITIONS angstrom
F 0.0000 0.0000 0.0000
S -5.4516 1.5050 3.2394
S -5.4079 1.4499 -0.1372
S -2.6648 0.5128 4.9206
U -0.3744 1.8689 1.3110
S -2.6211 0.4577 1.5440
S -2.7228 3.6068 0.6041
S -5.3499 -1.6441 4.1794
```

=====

# 2
A relaxed structure of HgHPdRh2. Source: the Alexandria database, functional PBE. Values from VASP.

## Properties
As for the energy above the lowest structure with this stoichiometry: 0 meV/atom. The symmetry is No. 123.

Geometry as Quantum ESPRESSO input:
```
&SYSTEM
  ibrav = 0, nat = 5, ntyp = 4
/
ATOMIC_SPECIES
Rh 102.91 Rh.upf
Pd 106.42 Pd.upf
H 1.01 H.upf
Hg 200.59 Hg.upf
CELL_PARAMETERS angstrom
-3.5863 -1.2393 1.3598
1.7750 -1.5468 3.2716
-0.4901 3.5535 1.9459
ATOMIC_POSITIONS angstrom
Rh -1.7932 -0.6196 0.6799
Pd -0.2451 1.7767 0.9730
Rh 0.8875 -0.7734 1.6358
H 0.0000 0.0000 0.0000
Hg -1.1507 0.3837 3.2887
```

=====

# 3
A relaxed structure of La2Sm6Dy3. Source: the Alexandria database, functional PBE. Values from VASP.

## Properties
As for the energy above the lowest structure with this stoichiometry: 99 meV/atom. The energy of formation comes out at 0.269 eV/atom. The symmetry is No. 139.

Geometry as Quantum ESPRESSO input:
```
&SYSTEM
  ibrav = 0, nat = 11, ntyp = 3
/
ATOMIC_SPECIES
Sm 150.36 Sm.upf
Dy 162.50 Dy.upf
La 138.91 La.upf
CELL_PARAMETERS angstrom
4.7999 0.0000 0.0000
0.0000 4.7999 0.0000
-2.4000 -2.4000 17.0795
ATOMIC_POSITIONS angstrom
Sm 0.0000 2.4000 12.8609
Sm 0.0000 0.0000 10.2799
Sm 2.4000 2.4000 6.7996
Sm 0.0000 2.4000 4.2186
Dy 0.0000 0.0000 6.8428
Dy 2.4000 2.4000 10.2367
Sm 2.4000 0.0000 12.8609
La 0.0000 0.0000 15.5257
Sm 2.4000 0.0000 4.2186
Dy 0.0000 0.0000 0.0000
La 2.4000 2.4000 1.5538
```

=====

# 4
A relaxed structure of Cd2NiMo. Source: the Alexandria database, functional PBE. Values from VASP.

## Properties
As for the energy above the lowest structure with this stoichiometry: 298 meV/atom. The energy of formation comes out at 0.431 eV/atom. The symmetry is No. 10.

Geometry as Quantum ESPRESSO input:
```
&SYSTEM
  ibrav = 0, nat = 4, ntyp = 3
/
ATOMIC_SPECIES
Cd 112.41 Cd.upf
Mo 95.94 Mo.upf
Ni 58.69 Ni.upf
CELL_PARAMETERS angstrom
4.5230 0.0000 0.0000
0.0000 2.7441 0.0336
0.0000 1.0798 5.4101
ATOMIC_POSITIONS angstrom
Cd 0.0000 2.1453 2.7794
Mo 2.2615 0.9560 1.3609
Ni 2.2615 2.8679 4.0828
Cd 0.0000 3.5906 5.3863
```

=====

# 5
A relaxed structure of SrLiAlZn2. Source: the Alexandria database, functional PBE. Values from VASP.

## Properties
The energy of formation comes out at -0.216 eV/atom. The symmetry is No. 119.

Geometry as Quantum ESPRESSO input:
```
&SYSTEM
  ibrav = 0, nat = 5, ntyp = 4
/
ATOMIC_SPECIES
Li 6.94 Li.upf
Zn 65.41 Zn.upf
Al 26.98 Al.upf
Sr 87.62 Sr.upf
CELL_PARAMETERS angstrom
4.5216 0.0000 0.0000
0.0000 4.5216 0.0000
-2.2608 -2.2608 5.3001
ATOMIC_POSITIONS angstrom
Li 0.0000 2.2608 2.6500
Zn 2.2608 2.2608 1.2893
Al 2.2608 0.0000 2.6500
Sr 0.0000 0.0000 0.0000
Zn 0.0000 0.0000 4.0107
```

=====

# 6
A relaxed structure of Cd2AsW. Source: the Alexandria database, functional PBE. Values from VASP.

## Properties
The energy of formation comes out at 0.533 eV/atom. The symmetry is No. 123.

Geometry as Quantum ESPRESSO input:
```
&SYSTEM
  ibrav = 0, nat = 4, ntyp = 3
/
ATOMIC_SPECIES
As 74.92 As.upf
Cd 112.41 Cd.upf
W 183.84 W.upf
CELL_PARAMETERS angstrom
-1.1218 -0.8350 -2.4890
2.2397 -1.7165 -0.4336
-4.5992 -7.1288 4.4644
ATOMIC_POSITIONS angstrom
As -2.8904 -6.6223 1.8870
Cd -0.0796 -0.1233 0.0772
Cd -2.2200 -3.4411 2.1549
W -0.5908 -3.0579 -0.3452
```

=====

# 7
A relaxed structure of LaIn. Source: the Alexandria database, functional PBE. Values from VASP.

## Properties
The energy of formation comes out at -0.131 eV/atom. The symmetry is No. 225.

Geometry as Quantum ESPRESSO input:
```
&SYSTEM
  ibrav = 0, nat = 2, ntyp = 2
/
ATOMIC_SPECIES
La 138.91 La.upf
In 114.82 In.upf
CELL_PARAMETERS angstrom
-3.6291 -2.2698 -1.8730
0.0102 -1.0729 -4.5475
0.4711 -4.4483 -1.3498
ATOMIC_POSITIONS angstrom
La -1.5739 -3.8955 -3.8851
In 0.0000 0.0000 0.0000
```

=====

# 8
A relaxed structure of Ti3CuBi. Source: the Alexandria database, functional PBE. Values from VASP.

## Properties
As for the energy above the lowest structure with this stoichiometry: 1094 meV/atom. The energy of formation comes out at 1.413 eV/atom. The symmetry is No. 221.

Geometry as Quantum ESPRESSO input:
```
&SYSTEM
  ibrav = 0, nat = 5, ntyp = 3
/
ATOMIC_SPECIES
Cu 63.55 Cu.upf
Ti 47.87 Ti.upf
Bi 208.98 Bi.upf
CELL_PARAMETERS angstrom
5.1269 0.0000 0.0000
0.0000 5.1269 0.0000
0.0000 0.0000 5.1269
ATOMIC_POSITIONS angstrom
Cu 2.5634 2.5634 2.5634
Ti 2.5634 0.0000 0.0000
Ti 0.0000 2.5634 0.0000
Ti 0.0000 0.0000 2.5634
Bi 0.0000 0.0000 0.0000
```

=====

# 9
A relaxed structure of NaCuPAu. Source: the Alexandria database, functional PBE. Values from VASP.

## Properties
The energy of formation comes out at -0.005 eV/atom. The symmetry is No. 38.

Geometry as Quantum ESPRESSO input:
```
&SYSTEM
  ibrav = 0, nat = 4, ntyp = 4
/
ATOMIC_SPECIES
Na 22.99 Na.upf
Au 196.97 Au.upf
P 30.97 P.upf
Cu 63.55 Cu.upf
CELL_PARAMETERS angstrom
3.2439 0.0000 0.0000
0.0000 4.4569 0.0000
0.0000 -2.2284 4.8996
ATOMIC_POSITIONS angstrom
Na 1.6219 0.0000 2.4549
Au 0.0000 2.2284 4.3820
P 0.0000 2.2284 1.9038
Cu 1.6219 2.2284 0.3762
```

=====

# 10
A relaxed structure of Ba5Hg4Sb. Source: the Alexandria database, functional PBE. Values from VASP.

## Properties
The calculation puts the total energy at -21.04 eV per formula unit. The symmetry is No. 123.

Geometry as Quantum ESPRESSO input:
```
&SYSTEM
  ibrav = 0, nat = 10, ntyp = 3
/
ATOMIC_SPECIES
Ba 137.33 Ba.upf
Sb 121.76 Sb.upf
Hg 200.59 Hg.upf
CELL_PARAMETERS angstrom
-2.0102 1.3076 -3.5739
-3.7901 -0.3233 2.0135
1.6306 19.4158 6.1868
ATOMIC_POSITIONS angstrom
Ba -1.4176 18.1458 4.8451
Ba -2.4152 6.2672 1.0600
Sb 0.0000 0.0000 0.0000
Ba -2.7522 2.2544 -0.2187
Hg 0.6551 7.8008 2.4857
Ba -2.0849 10.2001 2.3132
Hg 1.3055 15.5448 4.9533
Ba -1.7546 14.1330 3.5664
Hg 0.9754 11.6150 3.7011
Hg 0.3251 3.8710 1.2335
```

=====

# 11
A relaxed structure of K2La2As. Source: the Alexandria database, functional PBE. Values from VASP.

## Properties
As for the energy above the lowest structure with this stoichiometry: 20 meV/atom. The energy of formation comes out at 0.423 eV/atom. The symmetry is No. 139.

Geometry as Quantum ESPRESSO input:
```
&SYSTEM
  ibrav = 0, nat = 5, ntyp = 3
/
ATOMIC_SPECIES
La 138.91 La.upf
K 39.10 K.upf
As 74.92 As.upf
CELL_PARAMETERS angstrom
4.3326 0.0000 0.0000
0.0000 4.3326 0.0000
2.1663 2.1663 11.4098
ATOMIC_POSITIONS angstrom
La 2.1663 4.3326 5.7049
K 2.1663 2.1663 1.7647
K 4.3326 4.3326 9.6450
As 0.0000 0.0000 0.0000
La 4.3326 2.1663 5.7049
```

=====

# 12
A relaxed structure of Sm2Ga6Cu3. Source: the Alexandria database, functional PBE. Values from VASP.

## Properties
The energy of formation comes out at -0.295 eV/atom. The symmetry is No. 65.

Geometry as Quantum ESPRESSO input:
```
&SYSTEM
  ibrav = 0, nat = 11, ntyp = 3
/
ATOMIC_SPECIES
Cu 63.55 Cu.upf
Sm 150.36 Sm.upf
Ga 69.72 Ga.upf
CELL_PARAMETERS angstrom
-3.6224 -0.6573 -0.1301
1.0142 -4.3859 -6.0810
0.6998 -4.9760 5.6562
ATOMIC_POSITIONS angstrom
Cu 0.3275 -1.7890 -0.0812
Cu 1.3864 -7.5729 -0.3436
Sm 0.9195 -4.5637 -2.5447
Sm 0.7945 -4.7982 2.1199
Ga -0.7398 -6.1805 -0.3305
Ga -1.1686 -3.8387 -0.2243
Ga -1.5325 -2.2065 1.6634
Ga -0.3759 -7.8128 -2.2182
Cu -1.8112 -0.3286 -0.0650
Ga -0.4728 -7.9947 1.4008
Ga -1.4356 -2.0245 -1.9556
```

=====

Density: 4.36, 12.87, 7.04, 9.41, 3.87, 10.28, 5.84, 5.13, 7.37, 7.06, 3.34, 7.32 (Mg/m³)
Magnetization: 0.14, 0.00, 0.00, 0.04, 0.00, 0.00, 0.00, 0.40, 0.00, 0.00, 0.04, 0.00 (μB/atom)